Entry 1:
# Mg3Zn4Pt, relaxed, DFT PBE-GGA
# Calculated formation energy ... -1.92 eV per formula unit
data_Mg3Zn4Pt
_space_group_name_H-M_alt 'C 1 2/m 1'
_space_group_IT_number 12
_cell_length_a 13.683
_cell_length_b 4.510
_cell_length_c 4.510
_cell_angle_alpha 90.00
_cell_angle_beta 109.16
_cell_angle_gamma 90.00
loop_
_space_group_symop_operation_xyz
'x,y,z'
'-x,-y,-z'
'-x,y,-z'
'x,-y,z'
'x+1/2,y+1/2,z'
'-x+1/2,-y+1/2,-z'
'-x+1/2,y+1/2,-z'
'x+1/2,-y+1/2,z'
loop_
_atom_site_label
_atom_site_type_symbol
_atom_site_fract_x
_atom_site_fract_y
_atom_site_fract_z
Mg1 Mg 0.000 0.000 0.000
Mg2 Mg 0.243 0.500 0.742
Zn1 Zn 0.118 0.000 0.618
Zn2 Zn 0.118 0.500 0.118
Pt1 Pt 0.000 0.500 0.500

***

Entry 2:
# Na4NpRh3Se8, relaxed, DFT PBE-GGA
# Uncorrected formation energy ... -0.785 eV per atom
data_Na4NpRh3Se8
_space_group_name_H-M_alt 'R -3 m'
_space_group_IT_number 166
_space_group_name_Hall '-R 3 2"'
_cell_length_a 7.6389
_cell_length_b 7.6389
_cell_length_c 20.9710
_cell_angle_alpha 90.00
_cell_angle_beta 90.00
_cell_angle_gamma 120.00
loop_
_atom_site_label
_atom_site_type_symbol
_atom_site_fract_x
_atom_site_fract_y
_atom_site_fract_z
Na1 Na 0.0000 0.0000 0.0000
Na2 Na 0.0000 0.5000 0.0000
Np1 Np 0.0000 0.0000 0.5000
Rh1 Rh 0.0000 0.5000 0.5000
Se1 Se 0.0000 0.0000 0.2274
Se2 Se 0.0259 0.5130 0.7630

***

Entry 3:
# NdSmTh4, relaxed, DFT PBE-GGA
# Calculated formation energy ... 0.33 eV per formula unit
# Excess energy over the best structure of this formula in the dataset ... 0 meV/atom
data_NdSmTh4
_space_group_name_H-M_alt 'C m m m'
_space_group_IT_number 65
_space_group_name_Hall '-C 2 2'
_cell_length_a 5.055
_cell_length_b 15.355
_cell_length_c 5.092
_cell_angle_alpha 90.00
_cell_angle_beta 90.00
_cell_angle_gamma 90.00
loop_
_atom_site_label
_atom_site_type_symbol
_atom_site_fract_x
_atom_site_fract_y
_atom_site_fract_z
Nd1 Nd 0.000 0.000 0.000
Sm1 Sm 0.000 0.500 0.500
Th1 Th 0.000 0.170 0.500
Th2 Th 0.000 0.330 0.000

***

Entry 4:
# CoP2I2, relaxed, DFT PBE-GGA
# Excess energy over the best structure of this formula in the dataset ... 355 meV/atom
# Uncorrected formation energy ... 0.718 eV per atom
data_CoP2I2
_space_group_name_H-M_alt 'I 4/m m m'
_space_group_IT_number 139
_space_group_name_Hall '-I 4 2'
_cell_length_a 5.821
_cell_length_b 5.821
_cell_length_c 8.246
_cell_angle_alpha 90.00
_cell_angle_beta 90.00
_cell_angle_gamma 90.00
loop_
_atom_site_label
_atom_site_type_symbol
_atom_site_fract_x
_atom_site_fract_y
_atom_site_fract_z
Co1 Co 0.000 0.000 0.000
P1 P 0.000 0.000 0.262
I1 I 0.000 0.500 0.250

***

Entry 5:
# LaYAs2Rh, relaxed, DFT PBE-GGA
# Calculated formation energy ... 6.00 eV per formula unit
data_LaYAs2Rh
_space_group_name_H-M_alt 'P 4/m m m'
_space_group_IT_number 123
_space_group_name_Hall '-P 4 2'
_cell_length_a 5.450
_cell_length_b 5.450
_cell_length_c 5.850
_cell_angle_alpha 90.00
_cell_angle_beta 90.00
_cell_angle_gamma 90.00
loop_
_atom_site_label
_atom_site_type_symbol
_atom_site_fract_x
_atom_site_fract_y
_atom_site_fract_z
La1 La 0.000 0.000 0.000
Y1 Y 0.000 0.000 0.500
As1 As 0.000 0.500 0.000
Rh1 Rh 0.500 0.500 0.500

***

Entry 6:
# Tc2NiGe6, relaxed, DFT PBE-GGA
# Calculated formation energy ... -0.21 eV per formula unit
data_Tc2NiGe6
_space_group_name_H-M_alt 'C 1 2/m 1'
_space_group_IT_number 12
_cell_length_a 11.148
_cell_length_b 3.274
_cell_length_c 8.376
_cell_angle_alpha 90.00
_cell_angle_beta 107.78
_cell_angle_gamma 90.00
loop_
_space_group_symop_operation_xyz
'x,y,z'
'-x,-y,-z'
'-x,y,-z'
'x,-y,z'
'x+1/2,y+1/2,z'
'-x+1/2,-y+1/2,-z'
'-x+1/2,y+1/2,-z'
'x+1/2,-y+1/2,z'
loop_
_atom_site_label
_atom_site_type_symbol
_atom_site_fract_x
_atom_site_fract_y
_atom_site_fract_z
Tc1 Tc 0.247 0.000 0.248
Ni1 Ni 0.000 0.500 0.500
Ge1 Ge 0.057 0.500 0.224
Ge2 Ge 0.153 0.000 0.922
Ge3 Ge 0.155 0.000 0.510

***

Entry 7:
# Y2ZnMo, relaxed, DFT PBE-GGA
# Calculated formation energy ... 0.56 eV per formula unit
data_Y2ZnMo
_space_group_name_H-M_alt 'C 1 m 1'
_space_group_IT_number 8
_cell_length_a 11.022
_cell_length_b 3.302
_cell_length_c 5.220
_cell_angle_alpha 90.00
_cell_angle_beta 108.87
_cell_angle_gamma 90.00
loop_
_space_group_symop_operation_xyz
'x,y,z'
'x,-y,z'
'x+1/2,y+1/2,z'
'x+1/2,-y+1/2,z'
loop_
_atom_site_label
_atom_site_type_symbol
_atom_site_fract_x
_atom_site_fract_y
_atom_site_fract_z
Y1 Y 0.000 0.000 0.000
Y2 Y 0.205 0.000 0.642
Zn1 Zn 0.446 0.000 0.462
Mo1 Mo 0.259 0.500 0.178

***

Entry 8:
# ZrBiCl2, relaxed, DFT PBE-GGA
# Excess energy over the best structure of this formula in the dataset ... 61 meV/atom
# Uncorrected formation energy ... -1.144 eV per atom
data_ZrBiCl2
_space_group_name_H-M_alt 'P 1'
_space_group_IT_number 1
_cell_length_a 3.322
_cell_length_b 8.086
_cell_length_c 10.126
_cell_angle_alpha 71.55
_cell_angle_beta 87.48
_cell_angle_gamma 86.81
loop_
_space_group_symop_operation_xyz
'x,y,z'
loop_
_atom_site_label
_atom_site_type_symbol
_atom_site_fract_x
_atom_site_fract_y
_atom_site_fract_z
Zr1 Zr 0.000 0.000 0.000
Zr2 Zr 0.457 0.051 0.379
Bi1 Bi 0.070 0.721 0.525
Bi2 Bi 0.416 0.717 0.239
Cl1 Cl 0.477 0.244 0.880
Cl2 Cl 0.542 0.835 0.888
Cl3 Cl 0.926 0.194 0.505
Cl4 Cl 0.964 0.197 0.176

***

Entry 9:
# LaPHO2, relaxed, DFT PBE-GGA
# Excess energy over the best structure of this formula in the dataset ... 714 meV/atom
data_LaPHO2
_space_group_name_H-M_alt 'P 4/m m m'
_space_group_IT_number 123
_space_group_name_Hall '-P 4 2'
_cell_length_a 4.354
_cell_length_b 4.354
_cell_length_c 6.909
_cell_angle_alpha 90.00
_cell_angle_beta 90.00
_cell_angle_gamma 90.00
loop_
_atom_site_label
_atom_site_type_symbol
_atom_site_fract_x
_atom_site_fract_y
_atom_site_fract_z
La1 La 0.000 0.000 0.000
P1 P 0.000 0.000 0.500
H1 H 0.500 0.500 0.500
O1 O 0.000 0.500 0.000

***

Entry 10:
# Nd2SnGe2Rh5, relaxed, DFT PBE-GGA
# Calculated formation energy ... -7.49 eV per formula unit
data_Nd2SnGe2Rh5
_space_group_name_H-M_alt 'P 4/m b m'
_space_group_IT_number 127
_space_group_name_Hall '-P 4 2ab'
_cell_length_a 9.982
_cell_length_b 9.982
_cell_length_c 3.660
_cell_angle_alpha 90.00
_cell_angle_beta 90.00
_cell_angle_gamma 90.00
loop_
_atom_site_label
_atom_site_type_symbol
_atom_site_fract_x
_atom_site_fract_y
_atom_site_fract_z
Nd1 Nd 0.176 0.324 0.000
Sn1 Sn 0.000 0.000 0.000
Ge1 Ge 0.121 0.621 0.000
Rh1 Rh 0.000 0.500 0.500
Rh2 Rh 0.068 0.786 0.500

***

Entry 11:
# Ac6BiAs2Se3, relaxed, DFT PBE-GGA
# Uncorrected formation energy ... -1.617 eV per atom
data_Ac6BiAs2Se3
_space_group_name_H-M_alt 'C 1 2/m 1'
_space_group_IT_number 12
_cell_length_a 19.881
_cell_length_b 4.576
_cell_length_c 9.131
_cell_angle_alpha 90.00
_cell_angle_beta 102.74
_cell_angle_gamma 90.00
loop_
_space_group_symop_operation_xyz
'x,y,z'
'-x,-y,-z'
'-x,y,-z'
'x,-y,z'
'x+1/2,y+1/2,z'
'-x+1/2,-y+1/2,-z'
'-x+1/2,y+1/2,-z'
'x+1/2,-y+1/2,z'
loop_
_atom_site_label
_atom_site_type_symbol
_atom_site_fract_x
_atom_site_fract_y
_atom_site_fract_z
Ac1 Ac 0.004 0.000 0.264
Ac2 Ac 0.169 0.500 0.578
Ac3 Ac 0.172 0.500 0.096
Bi1 Bi 0.000 0.500 0.000
As1 As 0.168 0.000 0.335
Se1 Se 0.000 0.500 0.500
Se2 Se 0.164 0.000 0.833

***

Entry 12:
# AlGaSbTe2, relaxed, DFT PBE-GGA
# Excess energy over the best structure of this formula in the dataset ... 222 meV/atom
# Uncorrected formation energy ... 0.487 eV per atom
data_AlGaSbTe2
_space_group_name_H-M_alt 'P 4/m m m'
_space_group_IT_number 123
_space_group_name_Hall '-P 4 2'
_cell_length_a 5.460
_cell_length_b 5.460
_cell_length_c 5.266
_cell_angle_alpha 90.00
_cell_angle_beta 90.00
_cell_angle_gamma 90.00
loop_
_atom_site_label
_atom_site_type_symbol
_atom_site_fract_x
_atom_site_fract_y
_atom_site_fract_z
Al1 Al 0.000 0.000 0.000
Ga1 Ga 0.500 0.500 0.500
Sb1 Sb 0.500 0.500 0.000
Te1 Te 0.000 0.500 0.500